## RbScTeSe (PBE-GGA)

Data for a relaxed RbScTeSe crystal.

The value obtained for the uncorrected energy is -4.8648 eV/atom. For the energy relative to the elements, uncorrected, the calculation gives -1.384 eV per atom. Its space group is No. 160.

```
RbScTeSe
1.0
4.164 -0.001 0.000
-2.082 3.607 0.000
-2.081 -1.202 8.340
Rb Sc Te Se
1 1 1 1
Cartesian
2.475 0.939 3.148
-1.688 0.938 7.110
-1.688 3.344 0.475
0.394 -0.264 5.694
```